<A>
Compound: BeIn2B
Source: Alexandria via LeMat-Bulk
Functional: PBE-GGA
Structure: relaxed

Cell and atoms, written as POSCAR:
```
BeIn2B
1.0
0.0000 3.2371 3.2371
3.2371 0.0000 3.2371
3.2371 3.2371 0.0000
Be In B
1 2 1
direct
0.0000 0.0000 0.0000
0.2500 0.2500 0.2500
0.7500 0.7500 0.7500
0.5000 0.5000 0.5000
```


<B>
Compound: BeIn2B
Source: Alexandria via LeMat-Bulk
Functional: PBE-GGA
Structure: relaxed

Cell and atoms, written as POSCAR:
```
BeIn2B
1.0
-3.1398 3.1398 4.0437
3.1398 -3.1398 4.0437
3.1398 3.1398 -4.0437
Be In B
2 4 2
direct
0.0000 0.0000 0.0000
0.7500 0.2500 0.5000
0.1547 0.6250 0.0297
0.3750 0.4047 0.5297
0.5953 0.1250 0.9703
0.8750 0.8453 0.4703
0.2500 0.7500 0.5000
0.5000 0.5000 0.0000
```


Least stable: <A>